No. 1
Entry from Alexandria via LeMat-Bulk: a relaxed SrSbOsI2 crystal (PBE).

E above lowest polymorph (meV per atom): 1158
V (Å³ per atom): 51.4
Formation energy from raw total energies (eV per atom): 1.170

The structure in CIF format:
```
data_SrSbOsI2
_chemical_formula_sum 'Sr1 Sb1 Os1 I2'
_cell_length_a 6.195
_cell_length_b 6.195
_cell_length_c 6.696
_cell_angle_alpha 90.00
_cell_angle_beta 90.00
_cell_angle_gamma 90.00
_symmetry_space_group_name_H-M 'P 4/m m m'
_symmetry_Int_Tables_number 123
_symmetry_space_group_name_Hall '-P 4 2'
loop_
_atom_site_label
_atom_site_type_symbol
_atom_site_fract_x
_atom_site_fract_y
_atom_site_fract_z
Sr1 Sr 0.000 0.000 0.000
Sb1 Sb 0.000 0.000 0.500
Os1 Os 0.500 0.500 0.500
I1 I 0.000 0.500 0.000
```



No. 2
Entry from Alexandria via LeMat-Bulk: a relaxed ZnCd5 crystal (PBE).

E above lowest polymorph (meV per atom): 16
Formation energy from the elements (eV per atom): 0.04
V (Å³ per atom): 21.5

The structure in CIF format:
```
data_ZnCd5
_chemical_formula_sum 'Zn2 Cd10'
_cell_length_a 4.350
_cell_length_b 13.467
_cell_length_c 4.405
_cell_angle_alpha 90.00
_cell_angle_beta 90.00
_cell_angle_gamma 90.00
_symmetry_space_group_name_H-M 'C m m m'
_symmetry_Int_Tables_number 65
_symmetry_space_group_name_Hall '-C 2 2'
loop_
_atom_site_label
_atom_site_type_symbol
_atom_site_fract_x
_atom_site_fract_y
_atom_site_fract_z
Zn1 Zn 0.000 0.000 0.000
Cd1 Cd 0.000 0.163 0.500
Cd2 Cd 0.000 0.336 0.000
Cd3 Cd 0.000 0.500 0.500
```



No. 3
Entry from Alexandria via LeMat-Bulk: a relaxed Ac2CuNi4Sn3 crystal (PBE).

Formation energy from the elements (eV per atom): -0.42
V (Å³ per atom): 20.7

The structure in CIF format:
```
data_Ac2CuNi4Sn3
_chemical_formula_sum 'Ac2 Cu1 Ni4 Sn3'
_cell_length_a 4.514
_cell_length_b 4.514
_cell_length_c 10.183
_cell_angle_alpha 90.00
_cell_angle_beta 90.00
_cell_angle_gamma 90.00
_symmetry_space_group_name_H-M 'P -4 m 2'
_symmetry_Int_Tables_number 115
loop_
_symmetry_equiv_pos_as_xyz
'x,y,z'
'y,-x,-z'
'-x,-y,z'
'-y,x,-z'
'-x,y,z'
'-y,-x,-z'
'x,-y,z'
'y,x,-z'
loop_
_atom_site_label
_atom_site_type_symbol
_atom_site_fract_x
_atom_site_fract_y
_atom_site_fract_z
Ac1 Ac 0.000 0.500 0.248
Cu1 Cu 0.500 0.500 0.000
Ni1 Ni 0.000 0.000 0.500
Ni2 Ni 0.000 0.500 0.877
Ni3 Ni 0.500 0.500 0.500
Sn1 Sn 0.000 0.000 0.000
Sn2 Sn 0.000 0.500 0.623
```



No. 4
Entry from Alexandria via LeMat-Bulk: a relaxed Zn2Ni5Sb crystal (PBE).

V (Å³ per atom): 12.6
Formation energy from raw total energies (eV per atom): -0.183

The structure in CIF format:
```
data_Zn2Ni5Sb
_chemical_formula_sum 'Zn4 Ni10 Sb2'
_cell_length_a 3.766
_cell_length_b 3.766
_cell_length_c 14.171
_cell_angle_alpha 90.00
_cell_angle_beta 90.00
_cell_angle_gamma 90.00
_symmetry_space_group_name_H-M 'I 4/m m m'
_symmetry_Int_Tables_number 139
_symmetry_space_group_name_Hall '-I 4 2'
loop_
_atom_site_label
_atom_site_type_symbol
_atom_site_fract_x
_atom_site_fract_y
_atom_site_fract_z
Zn1 Zn 0.000 0.000 0.247
Ni1 Ni 0.000 0.000 0.000
Ni2 Ni 0.000 0.500 0.129
Sb1 Sb 0.000 0.000 0.500
```